Material: ScTa2Se
Method: DFT, meta-GGA SCAN
State: single point on PBEsol structure

Cell and atoms, written as POSCAR:
```
ScTa2Se
1.0
-2.248 1.750 2.996
-0.612 -3.714 1.711
4.851 1.470 -0.071
Se Ta Sc
1 2 1
Direct
0.250 0.750 0.500
0.000 0.000 0.000
0.750 0.250 0.500
0.500 0.500 0.000
```

Output
The value obtained for the density of states at the Fermi level is 0.77 states/eV per atom. The calculation puts the formation energy from raw total energies at 0.078 eV/atom. The value obtained for the electronic total energy is -41.79 eV per atom.

Material: Sc2TaSe
Method: DFT, meta-GGA SCAN
State: single point on PBEsol structure

Cell and atoms, written as POSCAR:
```
Sc2TaSe
1.0
3.182 0.029 0.000
-0.678 3.109 0.000
0.000 0.000 7.812
Sc Se Ta
2 1 1
Direct
0.000 0.000 0.733
0.000 0.000 0.267
0.500 0.500 0.500
0.500 0.500 0.000
```

Output
The value obtained for the density of states at the Fermi level is 0.72 states/eV per atom. The calculation puts the formation energy from raw total energies at -0.515 eV/atom. The value obtained for the electronic total energy is -29.30 eV per atom.

Material: ScTaSe
Method: DFT, meta-GGA SCAN
State: single point on PBEsol structure

Cell and atoms, written as POSCAR:
```
ScTaSe
1.0
-1.899 -1.756 -1.967
2.624 -1.502 -1.192
-0.796 -2.101 5.326
Ta Se Sc
1 1 1
Direct
0.308 0.308 0.617
0.687 0.687 0.374
0.004 0.004 0.009
```

Output
The value obtained for the density of states at the Fermi level is 0.38 states/eV per atom. The calculation puts the formation energy from raw total energies at -0.447 eV/atom. The value obtained for the electronic total energy is -34.08 eV per atom. The value obtained for the energy above the lowest structure with this stoichiometry is 0.00 eV/f.u.

Material: Sc2TaSe
Method: DFT, meta-GGA SCAN
State: single point on PBEsol structure

Cell and atoms, written as POSCAR:
```
Sc2TaSe
1.0
4.739 0.000 0.000
2.370 4.104 0.000
2.370 1.368 3.870
Sc Ta Se
2 1 1
Direct
0.750 0.750 0.750
0.000 0.000 0.000
0.250 0.250 0.250
0.500 0.500 0.500
```

Output
The value obtained for the density of states at the Fermi level is 0.43 states/eV per atom. The calculation puts the formation energy from raw total energies at 0.154 eV/atom. The value obtained for the electronic total energy is -28.63 eV per atom.

Material: ScTa2Se
Method: DFT, meta-GGA SCAN
State: single point on PBEsol structure

Cell and atoms, written as POSCAR:
```
ScTa2Se
1.0
-1.778 1.581 2.477
-2.877 -1.527 -1.090
1.058 -4.659 3.734
Sc Se Ta
1 1 2
Direct
0.000 0.000 0.510
0.500 0.500 0.740
0.500 0.500 0.236
0.000 0.000 0.014
```

Output
The value obtained for the density of states at the Fermi level is 0.66 states/eV per atom. The calculation puts the formation energy from raw total energies at -0.294 eV/atom. The value obtained for the electronic total energy is -42.16 eV per atom.

Material: ScTcSe
Method: DFT, meta-GGA SCAN
State: single point on PBEsol structure

Cell and atoms, written as POSCAR:
```
ScTcSe
1.0
3.242 0.000 0.000
0.000 4.236 0.000
0.000 -2.118 3.669
Se Tc Sc
1 1 1
Direct
0.500 0.667 0.333
0.500 0.333 0.667
0.000 0.000 0.000
```

Output
The value obtained for the density of states at the Fermi level is 1.13 states/eV per atom. The calculation puts the formation energy from raw total energies at -0.482 eV/atom. The value obtained for the electronic total energy is -23.61 eV per atom. The value obtained for the energy above the lowest structure with this stoichiometry is 0.00 eV/f.u.